A | ## AlOsSe3 (GGA-PBE)

Data for AlOsSe3 after structural relaxation.

Summary:
Density of states at the Fermi level in states/eV per atom: 0.646

Lattice parameters (Å, degrees): 4.6890 4.6890 4.6890 90.00 90.00 90.00
Last column: nearest neighbours and their distance in Å.
Space group Pm-3m (No. 221)
Symmetry-distinct sites (fractional):
Al1 0.0000 0.0000 0.0000 x1  6 Se 2.34
Os1 0.5000 0.5000 0.5000 x1  12 Se 3.32
Se1 0.0000 0.0000 0.5000 x3  2 Al 2.34

B | ## AlOsSe3 (GGA-PBE)

Data for AlOsSe3 after structural relaxation.

Summary:
Density of states at the Fermi level in states/eV per atom: 1.237

Lattice parameters (Å, degrees): 4.9313 4.9313 4.9313 90.00 90.00 90.00
Last column: nearest neighbours and their distance in Å.
Space group Pm-3m (No. 221)
Symmetry-distinct sites (fractional):
Al1 0.0000 0.0000 0.0000 x1  12 Se 3.49
Os1 0.5000 0.5000 0.5000 x1  6 Se 2.47
Se1 0.0000 0.5000 0.5000 x3  2 Os 2.47

The relative energies come out as A 489; B 0, with values in meV/atom.

A | ## AlSiOs3 (GGA-PBE)

Data for AlSiOs3 after structural relaxation.

Summary:
Density of states at the Fermi level in states/eV per atom: 1.060

Lattice parameters (Å, degrees): 4.3921 4.3921 4.3921 90.00 90.00 90.00
Last column: nearest neighbours and their distance in Å.
Space group Pm-3m (No. 221)
Symmetry-distinct sites (fractional):
Al1 0.0000 0.0000 0.0000 x1  6 Os 2.20
Si1 0.5000 0.5000 0.5000 x1  12 Os 3.11
Os1 0.0000 0.0000 0.5000 x3  2 Al 2.20

B | ## AlSiOs3 (GGA-PBE)

Data for AlSiOs3 after structural relaxation.

Summary:
Density of states at the Fermi level in states/eV per atom: 0.872

Lattice parameters (Å, degrees): 4.3664 4.3664 4.3664 90.00 90.00 90.00
Last column: nearest neighbours and their distance in Å.
Space group Pm-3m (No. 221)
Symmetry-distinct sites (fractional):
Al1 0.0000 0.0000 0.0000 x1  12 Os 3.09
Si1 0.5000 0.5000 0.5000 x1  6 Os 2.18
Os1 0.0000 0.5000 0.5000 x3  2 Si 2.18

The relative energies come out as A 805; B 0, with values in meV/atom.

A | ## Ta2AlOs (GGA-PBE)

Data for Ta2AlOs after structural relaxation.

Summary:
Density of states at the Fermi level in states/eV per atom: 1.191

Lattice parameters (Å, degrees): 6.4021 6.4021 6.4021 90.00 90.00 90.00
Last column: nearest neighbours and their distance in Å.
Space group Fm-3m (No. 225)
Symmetry-distinct sites (fractional):
Ta1 0.2500 0.2500 0.2500 x8  4 Os 2.77, 4 Al 2.77
Al1 0.0000 0.0000 0.0000 x4  8 Ta 2.77
Os1 0.0000 0.0000 0.5000 x4  8 Ta 2.77

B | ## Ta2AlOs (GGA-PBE)

Data for Ta2AlOs after structural relaxation.

Summary:
Density of states at the Fermi level in states/eV per atom: 0.744

Lattice parameters (Å, degrees): 3.0388 3.6849 5.8788 90.00 90.00 90.00
Last column: nearest neighbours and their distance in Å.
Space group Pmm2 (No. 25)
Symmetry-distinct sites (fractional):
Ta1 0.0000 0.0000 0.0000 x1  2 Al 2.78-3.10, 4 Os 2.84, 6 Ta 2.89-3.04
Ta2 0.5000 0.5000 0.2759 x1  1 Os 2.72, 4 Al 2.81, 6 Ta 2.89-3.04
Al1 0.0000 0.0000 0.5272 x1  4 Os 2.69, 5 Ta 2.78-2.81
Os1 0.5000 0.5000 0.7393 x1  4 Al 2.69, 5 Ta 2.72-2.84

The relative energies come out as A 133; B 0, with values in meV/atom.

A | ## Ta2AlOs (GGA-PBE)

Data for Ta2AlOs after structural relaxation.

Summary:
Density of states at the Fermi level in states/eV per atom: 0.820

Lattice parameters (Å, degrees): 6.3869 6.3869 6.3869 90.00 90.00 90.00
Last column: nearest neighbours and their distance in Å.
Space group F-43m (No. 216)
Symmetry-distinct sites (fractional):
Ta1 0.0000 0.0000 0.0000 x4  4 Al 2.77, 4 Ta 2.77
Ta2 0.2500 0.2500 0.2500 x4  4 Ta 2.77, 4 Os 2.77
Al1 0.2500 0.2500 0.7500 x4  4 Os 2.77, 4 Ta 2.77
Os1 0.0000 0.0000 0.5000 x4  4 Ta 2.77, 4 Al 2.77

B | ## Ta2AlOs (GGA-PBE)

Data for Ta2AlOs after structural relaxation.

Summary:
Density of states at the Fermi level in states/eV per atom: 0.710

Lattice parameters (Å, degrees): 3.2309 4.4035 9.1295 90.00 90.00 90.00
Last column: nearest neighbours and their distance in Å.
Space group Immm (No. 71)
Symmetry-distinct sites (fractional):
Ta1 0.0000 0.0000 0.2380 x4  2 Os 2.71, 4 Ta 2.74, 2 Al 2.89
Al1 0.0000 0.5000 0.0000 x2  4 Os 2.73, 4 Ta 2.89
Os1 0.0000 0.5000 0.5000 x2  4 Ta 2.71, 4 Al 2.73

C | ## Ta2AlOs (GGA-PBE)

Data for Ta2AlOs after structural relaxation.

Summary:
Density of states at the Fermi level in states/eV per atom: 0.758

Lattice parameters (Å, degrees): 3.8428 3.8428 8.8824 90.00 90.00 90.00
Last column: nearest neighbours and their distance in Å.
Space group I-4m2 (No. 119)
Symmetry-distinct sites (fractional):
Ta1 0.0000 0.0000 0.0000 x2  4 Os 2.72, 4 Ta 2.94, 4 Al 2.94
Ta2 0.0000 0.5000 0.2500 x2  4 Al 2.72, 4 Ta 2.94, 4 Os 2.94
Al1 0.0000 0.5000 0.7500 x2  8 Ta 2.72-2.94, 4 Os 2.94
Os1 0.0000 0.0000 0.5000 x2  8 Ta 2.72-2.94, 4 Al 2.94

The relative energies come out as A 170; B 0; C 113, with values in meV/atom.